# PmNd3Tl3, relaxed, DFT PBE
data_PmNd3Tl3
_chemical_formula_sum 'Pm2 Nd6 Tl6'
_symmetry_space_group_name_H-M 'P 1'
_symmetry_Int_Tables_number 1
_symmetry_space_group_name_Hall 'P 1'
_cell_length_a 5.332
_cell_length_b 9.734
_cell_length_c 9.734
_cell_angle_alpha 120.00
_cell_angle_beta 90.00
_cell_angle_gamma 90.00
loop_
_atom_site_label
_atom_site_type_symbol
_atom_site_fract_x
_atom_site_fract_y
_atom_site_fract_z
_atom_site_occupancy
Nd1 Nd 0.250 0.001 0.240 1
Tl1 Tl 0.250 0.382 0.452 1
Tl2 Tl 0.750 0.930 0.382 1
Pm1 Pm 0.750 0.333 0.667 1
Nd2 Nd 0.250 0.239 0.999 1
Nd3 Nd 0.250 0.760 0.761 1
Pm2 Pm 0.250 0.667 0.333 1
Tl3 Tl 0.750 0.452 0.070 1
Nd4 Nd 0.750 0.240 0.239 1
Tl4 Tl 0.250 0.070 0.618 1
Nd5 Nd 0.750 0.999 0.760 1
Tl5 Tl 0.750 0.618 0.548 1
Tl6 Tl 0.250 0.548 0.930 1
Nd6 Nd 0.750 0.761 0.001 1
# * energy relative to the elements: -0.244 eV/atom
# * DOS at the Fermi energy: 6.37 states/eV/f.u.
# * SG: P6_3/m, No. 176
# * energy: -3.980 eV/atom

---

# TiNiPdRh, relaxed, DFT PBE
data_TiNiPdRh
_chemical_formula_sum 'Ti1 Ni1 Pd1 Rh1'
_symmetry_space_group_name_H-M 'P 1'
_symmetry_Int_Tables_number 1
_symmetry_space_group_name_Hall 'P 1'
_cell_length_a 3.684
_cell_length_b 3.806
_cell_length_c 3.945
_cell_angle_alpha 90.00
_cell_angle_beta 90.00
_cell_angle_gamma 90.00
loop_
_atom_site_label
_atom_site_type_symbol
_atom_site_fract_x
_atom_site_fract_y
_atom_site_fract_z
_atom_site_occupancy
Rh1 Rh 0.500 0.500 0.000 1
Ti1 Ti 0.000 0.000 0.000 1
Pd1 Pd 0.500 0.000 0.500 1
Ni1 Ni 0.000 0.500 0.500 1
# * energy relative to the elements: -0.565 eV/atom
# * DOS at the Fermi energy: 3.49 states/eV/f.u.
# * SG: Pmmm, No. 47
# * energy: -7.120 eV/atom

---

# HoMnTlS3, relaxed, DFT PBE
data_HoMnTlS3
_chemical_formula_sum 'Ho2 Mn2 Tl2 S6'
_symmetry_space_group_name_H-M 'P 1'
_symmetry_Int_Tables_number 1
_symmetry_space_group_name_Hall 'P 1'
_cell_length_a 4.047
_cell_length_b 8.758
_cell_length_c 9.474
_cell_angle_alpha 106.48
_cell_angle_beta 90.00
_cell_angle_gamma 90.00
loop_
_atom_site_label
_atom_site_type_symbol
_atom_site_fract_x
_atom_site_fract_y
_atom_site_fract_z
_atom_site_occupancy
S1 S 0.750 0.877 0.129 1
Ho1 Ho 0.750 0.334 0.859 1
Tl1 Tl 0.750 0.791 0.781 1
Mn1 Mn 0.250 0.079 0.616 1
Mn2 Mn 0.750 0.921 0.384 1
S2 S 0.750 0.198 0.548 1
Ho2 Ho 0.250 0.666 0.141 1
S3 S 0.250 0.802 0.452 1
Tl2 Tl 0.250 0.209 0.219 1
S4 S 0.250 0.123 0.871 1
S5 S 0.250 0.540 0.846 1
S6 S 0.750 0.460 0.154 1
# * DOS at the Fermi energy: 0.06 states/eV/f.u.
# * SG: P2_1/m, No. 11
# * energy: -5.884 eV/atom
# * energy relative to the elements, uncorrected: -6.81 eV/f.u.

---

# InGeSb, relaxed, DFT PBE
data_InGeSb
_chemical_formula_sum 'In2 Ge2 Sb2'
_symmetry_space_group_name_H-M 'P 1'
_symmetry_Int_Tables_number 1
_symmetry_space_group_name_Hall 'P 1'
_cell_length_a 4.081
_cell_length_b 6.509
_cell_length_c 6.401
_cell_angle_alpha 90.00
_cell_angle_beta 108.11
_cell_angle_gamma 90.00
loop_
_atom_site_label
_atom_site_type_symbol
_atom_site_fract_x
_atom_site_fract_y
_atom_site_fract_z
_atom_site_occupancy
In1 In 0.013 0.500 0.079 1
Ge1 Ge 0.696 0.296 0.447 1
Ge2 Ge 0.696 0.704 0.447 1
In2 In 0.064 0.000 0.204 1
Sb1 Sb 0.344 0.226 0.751 1
Sb2 Sb 0.344 0.774 0.751 1
# * DOS at the Fermi energy: 0.91 states/eV/f.u.
# * SG: Pm, No. 6
# * energy: -3.718 eV/atom
# * energy relative to the elements, uncorrected: 0.32 eV/f.u.

---

# HfFe2BOs, relaxed, DFT PBE
data_HfFe2BOs
_chemical_formula_sum 'Hf1 Fe2 B1 Os1'
_symmetry_space_group_name_H-M 'P 1'
_symmetry_Int_Tables_number 1
_symmetry_space_group_name_Hall 'P 1'
_cell_length_a 3.919
_cell_length_b 3.919
_cell_length_c 4.093
_cell_angle_alpha 90.00
_cell_angle_beta 90.00
_cell_angle_gamma 90.00
loop_
_atom_site_label
_atom_site_type_symbol
_atom_site_fract_x
_atom_site_fract_y
_atom_site_fract_z
_atom_site_occupancy
Hf1 Hf 0.500 0.500 0.500 1
Fe1 Fe 0.500 0.000 0.000 1
Fe2 Fe 0.000 0.500 0.000 1
B1 B 0.000 0.000 0.000 1
Os1 Os 0.000 0.000 0.500 1
# * energy relative to the elements: -0.293 eV/atom
# * DOS at the Fermi energy: 5.45 states/eV/f.u.
# * SG: P4/mmm, No. 123
# * energy: -9.250 eV/atom

---

# Li2CaGeS4, relaxed, DFT PBE
data_Li2CaGeS4
_chemical_formula_sum 'Li2 Ca1 Ge1 S4'
_symmetry_space_group_name_H-M 'P 1'
_symmetry_Int_Tables_number 1
_symmetry_space_group_name_Hall 'P 1'
_cell_length_a 5.978
_cell_length_b 5.978
_cell_length_c 5.978
_cell_angle_alpha 101.07
_cell_angle_beta 113.83
_cell_angle_gamma 113.83
loop_
_atom_site_label
_atom_site_type_symbol
_atom_site_fract_x
_atom_site_fract_y
_atom_site_fract_z
_atom_site_occupancy
Ca1 Ca 0.000 0.000 0.000 1
S1 S 0.000 0.134 0.532 1
Li1 Li 0.500 0.250 0.750 1
S2 S 0.602 0.468 0.468 1
S3 S 0.000 0.532 0.134 1
Li2 Li 0.500 0.750 0.250 1
S4 S 0.398 0.866 0.866 1
Ge1 Ge 0.000 0.500 0.500 1
# * DOS at the Fermi energy: 0.00 states/eV/f.u.
# * SG: I-42m, No. 121
# * energy: -4.566 eV/atom
# * energy relative to the elements, uncorrected: -9.57 eV/f.u.